This record from Alexandria via LeMat-Bulk describes a relaxed structure of Ti3MoF. The functional is PBE with a Hubbard U.

Cell: 4.797 4.797 4.797 Å, 90.00 90.00 90.00°
Space group Pm-3m (No. 221)
Inequivalent atoms, fractional coordinates:
1 Ti 0.000 0.000 0.500
2 Mo 0.000 0.000 0.000
3 F 0.500 0.500 0.500

Summary:
Theoretical density: 3.9 g cm⁻³
E above lowest polymorph: 122.2 kJ per mole of atoms